Here is a geometry-optimized LiNdZn17 structure from Alexandria. Energies are from PBE.

Computed properties:
V in Å³/atom: 16.3
Uncorrected energy in eV/atom: -1.6378
DFT formation energy in eV/f.u.: -2.78
Space-group type: R3m (160)

Geometry as extended XYZ:
```
19
Lattice="-1.452 4.706 -4.707 -5.905 -2.671 -2.101 -4.104 3.838 3.852" Properties=species:S:1:pos:R:3 pbc="T T T"
Zn -6.917 0.724 -2.070
Zn -6.026 3.947 0.877
Zn -10.650 3.533 -0.641
Zn -3.309 4.049 1.277
Zn -1.225 0.628 -0.316
Zn -9.361 3.954 -4.801
Zn -2.249 4.396 -2.143
Zn -4.553 -0.449 -2.836
Zn -8.486 7.117 -1.908
Zn -6.695 1.533 0.349
Zn -5.424 1.949 -3.751
Zn -4.607 1.900 2.037
Zn -2.774 2.500 -3.878
Zn -4.712 4.377 -3.361
Zn -5.326 -0.702 -0.342
Zn -10.353 5.305 -2.670
Zn -4.562 5.067 -0.900
Nd -7.585 3.887 -1.956
Li -4.063 2.082 -1.048
```

=====

Here is a geometry-optimized LiNd2Zn7 structure from Alexandria. Energies are from PBE.

Computed properties:
V in Å³/atom: 19.5
Uncorrected energy in eV/atom: -2.3118
DFT formation energy in eV/f.u.: -2.75
Space-group type: P-4m2 (115)

Geometry as extended XYZ:
```
10
Lattice="4.277 0.000 0.000 0.000 4.277 0.000 0.000 0.000 10.642" Properties=species:S:1:pos:R:3 pbc="T T T"
Zn 0.000 0.000 0.000
Zn 2.138 0.000 3.935
Zn 2.138 0.000 1.470
Zn 2.138 2.138 5.321
Zn 0.000 0.000 5.321
Zn 0.000 2.138 9.172
Zn 0.000 2.138 6.707
Nd 2.138 0.000 7.855
Nd 0.000 2.138 2.787
Li 2.138 2.138 0.000
```